The following is a DFT calculation (PBE-GGA) of a relaxed NbTlFeCo crystal.

Unit cell a=4.3908 b=4.3908 c=4.3908 alpha=60.00 beta=60.00 gamma=60.00
Closest atoms and distances in Å follow each position.
Positions (direct):
Nb (0.0000, 0.0000, 0.0000)  4 Co 2.69, 4 Fe 2.69
Tl (0.5000, 0.5000, 0.5000)  4 Fe 2.69, 4 Co 2.69
Fe (0.2500, 0.2500, 0.2500)  4 Tl 2.69, 4 Nb 2.69
Co (0.7500, 0.7500, 0.7500)  4 Tl 2.69, 4 Nb 2.69

Results
Energy above the lowest structure with this stoichiometry: 0 meV/atom
Volume: 15.0 A^3/atom
Mass density: 11.4 g/cm3